Arrangement a

Compound: MoIrSe2
Source: the Alexandria database
Functional: meta-GGA SCAN
Structure: single point on PBEsol structure

Unit cell a=2.921 b=2.921 c=8.070 alpha=90.00 beta=90.00 gamma=90.00
Fractional coordinates of all 4 atoms:
Mo: 0.500 0.500 0.745
Ir: 0.000 0.000 0.518
Se: 0.500 0.500 0.302
Se: 0.000 0.000 0.935

The value obtained for the density of states at the Fermi level is 2.3 states/eV/cell. The value obtained for the total magnetic moment is 0.00 μB/f.u. Its crystal system is tetragonal. The density is 10.76 Mg/m³. As for the space group: P4mm (99).

Arrangement b

Compound: MoIrSe2
Source: the Alexandria database
Functional: meta-GGA SCAN
Structure: single point on PBEsol structure

Unit cell a=3.078 b=3.078 c=8.428 alpha=79.48 beta=79.48 gamma=60.00
Fractional coordinates of all 4 atoms:
Mo: 0.500 0.500 0.500
Se: 0.905 0.905 0.285
Se: 0.095 0.095 0.715
Ir: 0.000 0.000 0.000

The value obtained for the density of states at the Fermi level is 1.9 states/eV/cell. The value obtained for the total magnetic moment is 0.00 μB/f.u. Its crystal system is trigonal. The density is 10.96 Mg/m³. As for the space group: R-3m (166).

Most stable one: arrangement a, least stable one: arrangement b.

Arrangement a

Compound: MoIrSe2
Source: the Alexandria database
Functional: meta-GGA SCAN
Structure: single point on PBEsol structure

Unit cell a=3.136 b=3.136 c=6.207 alpha=90.00 beta=90.00 gamma=90.00
Fractional coordinates of all 4 atoms:
Se: 0.000 0.000 0.739
Se: 0.000 0.000 0.261
Ir: 0.500 0.500 0.000
Mo: 0.500 0.500 0.500

The value obtained for the density of states at the Fermi level is 3.7 states/eV/cell. The value obtained for the total magnetic moment is 0.00 μB/f.u. Its crystal system is tetragonal. The density is 12.14 Mg/m³. As for the space group: P4/mmm (123).

Arrangement b

Compound: MoIrSe2
Source: the Alexandria database
Functional: meta-GGA SCAN
Structure: single point on PBEsol structure

Unit cell a=5.542 b=5.542 c=6.750 alpha=114.24 beta=114.24 gamma=90.00
Fractional coordinates of all 8 atoms:
Se: 0.125 0.122 0.750
Mo: 0.500 0.500 0.000
Se: 0.372 0.875 0.250
Se: 0.625 0.628 0.750
Se: 0.878 0.375 0.250
Ir: 0.250 0.750 0.500
Mo: 0.750 0.250 0.500
Ir: 0.000 0.000 0.000

The value obtained for the density of states at the Fermi level is 5.9 states/eV/cell. The value obtained for the total magnetic moment is 0.00 μB/f.u. Its crystal system is tetragonal. The density is 8.78 Mg/m³. As for the space group: I-42d (122).

Arrangement c

Compound: MoIrSe2
Source: the Alexandria database
Functional: meta-GGA SCAN
Structure: single point on PBEsol structure

Unit cell a=4.502 b=4.502 c=4.502 alpha=60.00 beta=60.00 gamma=60.00
Fractional coordinates of all 4 atoms:
Se: 0.000 0.000 0.000
Ir: 0.500 0.500 0.500
Mo: 0.250 0.250 0.250
Se: 0.750 0.750 0.750

The value obtained for the density of states at the Fermi level is 3.2 states/eV/cell. The value obtained for the total magnetic moment is 0.00 μB/f.u. Its crystal system is cubic. The density is 11.48 Mg/m³. As for the space group: F-43m (216).

Most stable one: arrangement b, least stable one: arrangement c.

Arrangement a

Compound: SrMoIr2
Source: the Alexandria database
Functional: meta-GGA SCAN
Structure: single point on PBEsol structure

Unit cell a=4.573 b=4.573 c=4.573 alpha=60.00 beta=60.00 gamma=60.00
Fractional coordinates of all 4 atoms:
Sr: 0.250 0.250 0.250
Mo: 0.500 0.500 0.500
Ir: 0.000 0.000 0.000
Ir: 0.750 0.750 0.750

The value obtained for the density of states at the Fermi level is 6.4 states/eV/cell. The value obtained for the total magnetic moment is 0.00 μB/f.u. Its crystal system is cubic. The density is 13.95 Mg/m³. As for the space group: F-43m (216).

Arrangement b

Compound: SrMoIr2
Source: the Alexandria database
Functional: meta-GGA SCAN
Structure: single point on PBEsol structure

Unit cell a=2.864 b=4.945 c=4.945 alpha=101.12 beta=90.00 gamma=90.00
Fractional coordinates of all 4 atoms:
Ir: 0.000 0.000 0.500
Sr: 0.500 0.500 0.500
Ir: 0.000 0.500 0.000
Mo: 0.500 0.000 0.000

The value obtained for the density of states at the Fermi level is 2.7 states/eV/cell. The value obtained for the total magnetic moment is 0.00 μB/f.u. Its crystal system is orthorhombic. The density is 13.72 Mg/m³. As for the space group: Cmmm (65).

Most stable one: arrangement b, least stable one: arrangement a.

Arrangement a

Compound: TcMoIr2
Source: the Alexandria database
Functional: meta-GGA SCAN
Structure: single point on PBEsol structure

Unit cell a=2.712 b=4.726 c=4.726 alpha=110.10 beta=90.00 gamma=90.00
Fractional coordinates of all 4 atoms:
Ir: 0.000 0.500 0.000
Tc: 0.500 0.000 0.000
Ir: 0.000 0.000 0.500
Mo: 0.500 0.500 0.500

The value obtained for the density of states at the Fermi level is 2.9 states/eV/cell. The value obtained for the total magnetic moment is 0.01 μB/f.u. Its crystal system is orthorhombic. The density is 16.88 Mg/m³. As for the space group: Cmmm (65).

Arrangement b

Compound: TcMoIr2
Source: the Alexandria database
Functional: meta-GGA SCAN
Structure: single point on PBEsol structure

Unit cell a=3.831 b=3.831 c=4.729 alpha=113.89 beta=113.89 gamma=90.00
Fractional coordinates of all 4 atoms:
Mo: 0.000 0.000 0.000
Ir: 0.750 0.250 0.500
Tc: 0.500 0.500 0.000
Ir: 0.250 0.750 0.500

The value obtained for the density of states at the Fermi level is 2.5 states/eV/cell. The value obtained for the total magnetic moment is 0.18 μB/f.u. Its crystal system is tetragonal. The density is 16.88 Mg/m³. As for the space group: I4/mmm (139).

Most stable one: arrangement b, least stable one: arrangement a.

Arrangement a

Compound: TcMoIr2
Source: the Alexandria database
Functional: meta-GGA SCAN
Structure: single point on PBEsol structure

Unit cell a=2.723 b=4.367 c=4.768 alpha=90.00 beta=90.00 gamma=90.00
Fractional coordinates of all 4 atoms:
Mo: 0.500 0.000 0.539
Ir: 0.000 0.500 0.707
Ir: 0.000 0.000 0.049
Tc: 0.500 0.500 0.205

The value obtained for the density of states at the Fermi level is 1.8 states/eV/cell. The value obtained for the total magnetic moment is 0.00 μB/f.u. Its crystal system is orthorhombic. The density is 16.94 Mg/m³. As for the space group: Pmm2 (25).

Arrangement b

Compound: TcMoIr2
Source: the Alexandria database
Functional: meta-GGA SCAN
Structure: single point on PBEsol structure

Unit cell a=3.832 b=3.832 c=3.872 alpha=90.00 beta=90.00 gamma=90.00
Fractional coordinates of all 4 atoms:
Tc: 0.000 0.000 0.500
Ir: 0.500 0.000 0.000
Ir: 0.000 0.500 0.000
Mo: 0.500 0.500 0.500

The value obtained for the density of states at the Fermi level is 2.6 states/eV/cell. The value obtained for the total magnetic moment is 0.19 μB/f.u. Its crystal system is tetragonal. The density is 16.89 Mg/m³. As for the space group: P4/mmm (123).

Arrangement c

Compound: TcMoIr2
Source: the Alexandria database
Functional: meta-GGA SCAN
Structure: single point on PBEsol structure

Unit cell a=2.710 b=3.874 c=5.421 alpha=90.00 beta=90.00 gamma=90.00
Fractional coordinates of all 4 atoms:
Ir: 0.000 0.000 0.254
Tc: 0.500 0.500 0.500
Mo: 0.500 0.500 0.000
Ir: 0.000 0.000 0.746

The value obtained for the density of states at the Fermi level is 3.0 states/eV/cell. The value obtained for the total magnetic moment is 0.00 μB/f.u. Its crystal system is orthorhombic. The density is 16.88 Mg/m³. As for the space group: Pmmm (47).

Most stable one: arrangement a, least stable one: arrangement c.

Arrangement a

Compound: TeMoIr2
Source: the Alexandria database
Functional: meta-GGA SCAN
Structure: single point on PBEsol structure

Unit cell a=3.966 b=3.966 c=4.037 alpha=90.00 beta=90.00 gamma=90.00
Fractional coordinates of all 4 atoms:
Ir: 0.000 0.500 0.000
Mo: 0.500 0.500 0.500
Te: 0.000 0.000 0.500
Ir: 0.500 0.000 0.000

The value obtained for the density of states at the Fermi level is 2.3 states/eV/cell. The value obtained for the total magnetic moment is 1.43 μB/f.u. Its crystal system is tetragonal. The density is 15.90 Mg/m³. As for the space group: P4/mmm (123).

Arrangement b

Compound: TeMoIr2
Source: the Alexandria database
Functional: meta-GGA SCAN
Structure: single point on PBEsol structure

Unit cell a=2.889 b=2.889 c=9.258 alpha=81.02 beta=81.02 gamma=60.00
Fractional coordinates of all 4 atoms:
Ir: 0.744 0.744 0.768
Ir: 0.256 0.256 0.232
Te: 0.500 0.500 0.500
Mo: 0.000 0.000 0.000

The value obtained for the density of states at the Fermi level is 3.1 states/eV/cell. The value obtained for the total magnetic moment is 0.00 μB/f.u. Its crystal system is trigonal. The density is 15.34 Mg/m³. As for the space group: R-3m (166).

Most stable one: arrangement a, least stable one: arrangement b.